(1)
VASP calculation (PBE) on an optimized crystal structure of NpNi6C.

Lattice parameters (Å, degrees): 5.1010 5.1010 13.5506 90.00 90.00 120.00
Space group R-3m (No. 166, hexagonal axes)
Unique sites:
Np1 0.0000 0.0000 0.0000 [3 per cell]
Ni1 0.0135 0.5068 0.9111 [18 per cell]
C1 0.0000 0.0000 0.5000 [3 per cell]

DFT formation energy: 0.094 eV per atom
Energy: -7.0129 eV/atom

(2)
VASP calculation (PBE) on an optimized crystal structure of NpSiNiC.

Lattice parameters (Å, degrees): 3.630 3.630 8.438 90.00 90.00 90.00
Space group P4/nmm (No. 129, origin choice 2)
Unique sites:
Np1 0.250 0.250 0.153 [2 per cell]
Si1 0.250 0.250 0.662 [2 per cell]
Ni1 0.250 0.750 0.500 [2 per cell]
C1 0.250 0.250 0.882 [2 per cell]

Uncorrected formation energy: -0.331 eV per atom
Energy: -8.6736 eV/atom

What did the first record say?
VASP calculation (PBE) on an optimized crystal structure of NpNi6C.

Lattice parameters (Å, degrees): 5.1010 5.1010 13.5506 90.00 90.00 120.00
Space group R-3m (No. 166, hexagonal axes)
Unique sites:
Np1 0.0000 0.0000 0.0000 [3 per cell]
Ni1 0.0135 0.5068 0.9111 [18 per cell]
C1 0.0000 0.0000 0.5000 [3 per cell]

DFT formation energy: 0.094 eV per atom
Energy: -7.0129 eV/atom